{
  "formula": "Ge2SeBr4",
  "functional": "GGA-PBE",
  "state": "optimized geometry",
  "sg": "I4/mmm",
  "crystal_system": "tetragonal",
  "n_ef_per_ev_fu": 5.2,
  "raw_formation_energy_mev_per_atom": 2,
  "energy_ev_per_atom": -2.771,
  "vol_a3_per_atom": 37.070,
  "lattice_angstrom": [[-2.8006, 0.8341, 4.9029], [-0.3364, -5.6457, 0.7683], [5.3563, -2.2829, 6.7701]],
  "species": ["Ge", "Br", "Br", "Se", "Ge", "Br", "Br"],
  "fractional_positions": [[0.5887, 0.5887, 0.8226], [0.7357, 0.7357, 0.5287], [0.2643, 0.2643, 0.4713], [0.0000, 0.0000, 0.0000], [0.4113, 0.4113, 0.1774], [0.0000, 0.5000, 0.0000], [0.5000, 0.0000, 0.0000]]
}

{
  "formula": "GeSeBr3",
  "functional": "GGA-PBE",
  "state": "optimized geometry",
  "sg": "Pm-3m",
  "crystal_system": "cubic",
  "n_ef_per_ev_fu": 4.4,
  "relative_energy_mev_per_atom": 0,
  "raw_formation_energy_mev_per_atom": 129,
  "energy_ev_per_atom": -2.495,
  "vol_a3_per_atom": 31.469,
  "lattice_angstrom": [[-1.2481, 5.2075, 0.6848], [-4.7019, -1.4214, 2.2398], [2.3408, -0.0786, 4.8641]],
  "species": ["Se", "Br", "Br", "Br", "Ge"],
  "fractional_positions": [[0.5000, 0.5000, 0.5000], [0.0000, 0.5000, 0.0000], [0.0000, 0.0000, 0.5000], [0.5000, 0.0000, 0.0000], [0.0000, 0.0000, 0.0000]]
}

{
  "formula": "GeSe2Br",
  "functional": "GGA-PBE",
  "state": "optimized geometry",
  "sg": "R-3m",
  "crystal_system": "trigonal",
  "n_ef_per_ev_fu": 1.7,
  "relative_energy_mev_per_atom": 56,
  "raw_formation_energy_mev_per_atom": -27,
  "energy_ev_per_atom": -3.342,
  "vol_a3_per_atom": 27.254,
  "lattice_angstrom": [[2.2710, 0.0000, 8.1357], [-1.1355, 1.9668, 8.1357], [-1.1355, -1.9668, 8.1357]],
  "species": ["Br", "Se", "Ge", "Se"],
  "fractional_positions": [[0.0000, 0.0000, 0.0000], [0.1065, 0.1065, 0.1065], [0.5000, 0.5000, 0.5000], [0.8935, 0.8935, 0.8935]]
}

{
  "formula": "Ge2SeBr",
  "functional": "GGA-PBE",
  "state": "optimized geometry",
  "sg": "I-42d",
  "crystal_system": "tetragonal",
  "n_ef_per_ev_fu": 1.9,
  "relative_energy_mev_per_atom": 0,
  "raw_formation_energy_mev_per_atom": 25,
  "energy_ev_per_atom": -3.573,
  "vol_a3_per_atom": 25.509,
  "lattice_angstrom": [[-5.8372, 3.6522, 3.1609], [-0.3747, -5.2856, 5.4153], [-0.8464, 1.0676, 6.2836]],
  "species": ["Ge", "Ge", "Se", "Ge", "Se", "Ge", "Br", "Br"],
  "fractional_positions": [[0.5970, 0.1250, 0.2500], [0.1530, 0.6250, 0.2500], [0.5000, 0.5000, 0.0000], [0.8750, 0.8470, 0.7500], [0.2500, 0.7500, 0.5000], [0.3750, 0.4030, 0.7500], [0.0000, 0.0000, 0.0000], [0.7500, 0.2500, 0.5000]]
}